A relaxed structure of TbGa4CuPt2. Source: the Alexandria database, functional PBE.

Output
The density of states at the Fermi level comes out at 2.508 states/eV/cell. Its space group is R-3m. As for the calculated formation energy: -0.591 eV per atom.

Structure (extended XYZ):
```
8
Lattice="4.2834 0.0000 0.0000 2.1417 3.7095 0.0000 2.1417 1.2365 8.5853" Properties=species:S:1:pos:R:3 pbc="T T T"
Tb 0.0000 0.0000 0.0000
Ga 4.2834 2.4730 6.9314
Ga 6.4251 3.7095 3.3999
Ga 2.1417 1.2365 5.1854
Ga 4.2834 2.4730 1.6539
Cu 4.2834 2.4730 4.2927
Pt 6.4251 3.7095 6.1843
Pt 2.1417 1.2365 2.4010
```

***

A relaxed structure of TbGa4Cu2Pt. Source: the Alexandria database, functional PBE.

Output
The density of states at the Fermi level comes out at 1.842 states/eV/cell. Its space group is R-3m. As for the calculated formation energy: -0.414 eV per atom.

Structure (extended XYZ):
```
8
Lattice="-3.8718 -1.5731 0.4094 -0.7213 -4.0494 -0.8457 0.2157 -3.9609 8.3560" Properties=species:S:1:pos:R:3 pbc="T T T"
Tb 0.0000 0.0000 0.0000
Ga -1.6637 -5.4190 6.5152
Ga -3.9294 -6.4154 2.7937
Ga -0.4480 -3.1681 5.1259
Ga -2.7137 -4.1645 1.4044
Cu -3.2831 -7.1875 5.9395
Cu -1.0943 -2.3959 1.9801
Pt -2.1887 -4.7917 3.9598
```

***

Number 1: final energy -37.64 eV for the cell shown, magnetization 0.00 μB/cell. Number 2: final energy -34.28 eV for the cell shown, magnetization 0.00 μB/cell.